No. 1
{"formula": "RbCeO", "functional": "GGA-PBE", "state": "relaxed", "formation_energy_uncorrected_mev_per_atom": -895, "n_ef_per_ev_cell": 13.92, "energy_ev_per_atom": -4.85, "rho_g_cm3": 4.82, "cell": [[-0.734, -3.319, -0.994], [2.858, 0.666, 1.975], [-8.350, -1.970, 12.749]], "species": ["Ce", "O", "Rb", "Ce", "O", "Rb"], "frac_coords": [[0.666, 0.332, 0.399], [0.556, 0.113, 0.000], [0.223, 0.445, 0.109], [0.666, 0.332, 0.601], [0.333, 0.666, 0.500], [0.223, 0.445, 0.891]]}


No. 2
{"formula": "H2RhAu2", "functional": "GGA-PBE", "state": "relaxed", "n_ef_per_ev_cell": 4.00, "relative_energy_kcal_per_mol_atoms": 1.39, "energy_ev_per_atom": -4.00, "rho_g_cm3": 13.29, "cell": [[-4.689, -2.551, -1.539], [2.173, -0.966, -5.021], [1.482, -3.519, 1.318]], "species": ["Au", "H", "Rh", "Rh", "Au", "H", "Au", "Au", "H", "H"], "frac_coords": [[0.250, 0.250, 0.500], [0.250, 0.250, 0.000], [0.500, 0.500, 0.000], [0.000, 0.000, 0.000], [0.750, 0.750, 0.500], [0.750, 0.750, 0.000], [0.250, 0.750, 0.500], [0.750, 0.250, 0.500], [0.250, 0.750, 0.000], [0.750, 0.250, 0.000]]}


No. 3
{"formula": "Pu2ZnGa6Cu", "functional": "GGA-PBE", "state": "relaxed", "n_ef_per_ev_cell": 44.80, "e_form_ev_per_fu": -1.272, "energy_ev_per_atom": -5.35, "rho_g_cm3": 8.67, "cell": [[-4.346, 2.404, -3.753], [-3.933, -3.764, -3.020], [-10.290, 0.122, 6.831]], "species": ["Ga", "Ga", "Ga", "Pu", "Cu", "Cu", "Pu", "Ga", "Ga", "Zn", "Ga", "Ga", "Pu", "Pu", "Ga", "Ga", "Ga", "Zn", "Ga", "Ga"], "frac_coords": [[0.795, 0.795, 0.164], [0.060, 0.652, 0.637], [0.205, 0.755, 0.836], [0.688, 0.688, 0.936], [0.425, 0.425, 0.724], [0.575, 0.575, 0.276], [0.134, 0.134, 0.599], [0.348, 0.348, 0.363], [0.795, 0.245, 0.164], [0.000, 0.000, 0.000], [0.348, 0.940, 0.363], [0.652, 0.060, 0.637], [0.866, 0.866, 0.401], [0.312, 0.312, 0.064], [0.940, 0.348, 0.363], [0.205, 0.205, 0.836], [0.755, 0.205, 0.836], [0.500, 0.500, 0.500], [0.652, 0.652, 0.637], [0.245, 0.795, 0.164]]}


No. 4
{"formula": "InPWS2", "functional": "GGA-PBE", "state": "relaxed", "formation_energy_uncorrected_mev_per_atom": 1571, "n_ef_per_ev_cell": 3.56, "relative_energy_kcal_per_mol_atoms": 34.75, "energy_ev_per_atom": -4.30, "rho_g_cm3": 5.52, "cell": [[4.902, 0.000, 0.000], [0.000, 4.902, 0.000], [0.000, 0.000, 4.932]], "species": ["S", "S", "W", "In", "P"], "frac_coords": [[0.500, 0.000, 0.000], [0.000, 0.500, 0.000], [0.500, 0.500, 0.500], [0.000, 0.000, 0.000], [0.000, 0.000, 0.500]]}


No. 5
{"formula": "Mg6ZnIr", "functional": "GGA-PBE", "state": "relaxed", "n_ef_per_ev_cell": 2.99, "e_form_ev_per_fu": 0.466, "relative_energy_kcal_per_mol_atoms": 4.77, "energy_ev_per_atom": -2.40, "rho_g_cm3": 3.85, "cell": [[-2.594, -0.720, 4.849], [3.355, -0.144, 5.502], [1.080, 5.512, 3.261]], "species": ["Mg", "Zn", "Ir", "Mg", "Mg", "Mg", "Mg", "Mg"], "frac_coords": [[0.749, 0.454, 0.610], [0.000, 0.000, 0.000], [0.500, 0.500, 0.000], [0.251, 0.257, 0.000], [0.749, 0.064, 0.390], [0.749, 0.743, 0.000], [0.251, 0.936, 0.610], [0.251, 0.546, 0.390]]}


No. 6
{"formula": "Ce4Sb6Ru7", "functional": "GGA-PBE", "state": "relaxed", "formation_energy_uncorrected_mev_per_atom": -616, "n_ef_per_ev_cell": 14.36, "energy_ev_per_atom": -7.29, "rho_g_cm3": 9.72, "cell": [[7.191, 0.000, -2.542], [-3.595, 6.227, -2.542], [0.000, 0.000, 7.627]], "species": ["Ru", "Ru", "Ru", "Ru", "Ce", "Sb", "Sb", "Ru", "Ce", "Sb", "Sb", "Sb", "Ru", "Sb", "Ce", "Ru", "Ce"], "frac_coords": [[0.000, 0.000, 0.000], [0.500, 0.250, 0.750], [0.250, 0.500, 0.750], [0.750, 0.250, 0.500], [0.500, 0.000, 0.000], [0.000, 0.315, 0.315], [0.685, 0.000, 0.685], [0.500, 0.750, 0.250], [0.000, 0.500, 0.000], [0.315, 0.315, 0.000], [0.315, 0.000, 0.315], [0.000, 0.685, 0.685], [0.750, 0.500, 0.250], [0.685, 0.685, 0.000], [0.500, 0.500, 0.500], [0.250, 0.750, 0.500], [0.000, 0.000, 0.500]]}


No. 7
{"formula": "TbPr2Dy4Th", "functional": "GGA-PBE", "state": "relaxed", "n_ef_per_ev_cell": 10.85, "e_form_ev_per_fu": 0.270, "energy_ev_per_atom": -4.97, "rho_g_cm3": 8.38, "cell": [[-4.197, 1.466, 2.536], [2.605, -0.124, 4.383], [5.196, 9.496, 3.110]], "species": ["Pr", "Th", "Dy", "Dy", "Tb", "Dy", "Pr", "Dy"], "frac_coords": [[0.000, 0.000, 0.000], [0.000, 0.500, 0.500], [0.000, 0.247, 0.254], [0.500, 0.747, 0.254], [0.500, 0.500, 0.000], [0.500, 0.253, 0.746], [0.500, 0.000, 0.500], [0.000, 0.753, 0.746]]}


No. 8
{"formula": "TaMoW2", "functional": "GGA-PBE", "state": "relaxed", "n_ef_per_ev_cell": 2.88, "e_form_ev_per_fu": 1.306, "relative_energy_kcal_per_mol_atoms": 10.56, "energy_ev_per_atom": -11.82, "rho_g_cm3": 15.80, "cell": [[-0.270, 8.340, 2.784], [-2.121, 7.067, 4.790], [0.857, 7.012, 5.241]], "species": ["Ta", "W", "W", "Mo"], "frac_coords": [[0.750, 0.750, 0.750], [0.502, 0.502, 0.502], [0.998, 0.998, 0.998], [0.250, 0.250, 0.250]]}


No. 9
{"formula": "NiB3Rh5", "functional": "GGA-PBE", "state": "relaxed", "n_ef_per_ev_cell": 21.50, "e_form_ev_per_fu": -1.465, "energy_ev_per_atom": -7.12, "rho_g_cm3": 9.15, "cell": [[-5.231, 0.022, 2.454], [4.062, -0.807, 6.652], [-0.684, 4.343, 6.486]], "species": ["Rh", "Rh", "Rh", "Rh", "Rh", "Rh", "B", "Rh", "Ni", "B", "Rh", "Rh", "B", "B", "Ni", "Rh", "B", "B"], "frac_coords": [[0.000, 0.297, 0.703], [0.636, 0.956, 0.727], [0.912, 0.106, 0.194], [0.000, 0.703, 0.297], [0.216, 0.425, 0.208], [0.364, 0.637, 0.680], [0.353, 0.339, 0.986], [0.784, 0.575, 0.792], [0.431, 0.231, 0.800], [0.647, 0.661, 0.014], [0.088, 0.894, 0.806], [0.636, 0.363, 0.320], [0.500, 0.000, 0.500], [0.181, 0.670, 0.489], [0.569, 0.769, 0.200], [0.364, 0.044, 0.273], [0.819, 0.330, 0.511], [0.000, 0.000, 0.000]]}


No. 10
{"formula": "BiSb2As", "functional": "GGA-PBE", "state": "relaxed", "formation_energy_uncorrected_mev_per_atom": 82, "n_ef_per_ev_cell": 1.96, "relative_energy_kcal_per_mol_atoms": 0.76, "energy_ev_per_atom": -4.11, "rho_g_cm3": 7.63, "cell": [[-3.376, -1.557, 2.214], [0.064, -4.071, 1.463], [1.838, 0.344, 7.273]], "species": ["Bi", "Sb", "As", "Sb"], "frac_coords": [[0.500, 0.500, 0.500], [0.741, 0.741, 0.777], [0.000, 0.000, 0.000], [0.259, 0.259, 0.223]]}


No. 11
{"formula": "NaCd4In8", "functional": "GGA-PBE", "state": "relaxed", "n_ef_per_ev_cell": 6.34, "e_form_ev_per_fu": 1.081, "relative_energy_kcal_per_mol_atoms": 1.75, "energy_ev_per_atom": -1.99, "rho_g_cm3": 6.28, "cell": [[-4.983, -0.751, 5.095], [-3.450, -4.778, -4.077], [3.823, -5.289, 2.961]], "species": ["Cd", "Cd", "Na", "In", "In", "In", "Cd", "In", "In", "Cd", "In", "In", "In"], "frac_coords": [[0.500, 0.500, 0.500], [0.500, 0.000, 0.500], [0.000, 0.000, 0.000], [0.245, 0.245, 0.245], [0.755, 0.755, 0.755], [0.245, 0.755, 0.245], [0.000, 0.500, 0.500], [0.755, 0.245, 0.755], [0.755, 0.245, 0.245], [0.500, 0.500, 0.000], [0.245, 0.245, 0.755], [0.245, 0.755, 0.755], [0.755, 0.755, 0.245]]}


No. 12
{"formula": "CsNa2Br3", "functional": "GGA-PBE", "state": "relaxed", "formation_energy_uncorrected_mev_per_atom": -1524, "n_ef_per_ev_cell": 0.00, "energy_ev_per_atom": -2.94, "rho_g_cm3": 2.82, "cell": [[-6.146, -2.853, 1.617], [1.720, -6.540, -5.001], [3.486, -3.717, 6.691]], "species": ["Cs", "Br", "Na", "Br", "Br", "Na", "Br", "Na", "Cs", "Br", "Br", "Na"], "frac_coords": [[0.750, 0.645, 0.355], [0.250, 0.901, 0.099], [0.500, 0.166, 0.166], [0.750, 0.099, 0.901], [0.750, 0.203, 0.424], [0.000, 0.834, 0.834], [0.250, 0.424, 0.203], [0.000, 0.166, 0.166], [0.250, 0.355, 0.645], [0.750, 0.576, 0.797], [0.250, 0.797, 0.576], [0.500, 0.834, 0.834]]}